Compound: NbInF3
Source: the Alexandria database
Functional: GGA-PBE
Structure: relaxed

Cell and atoms, written as CIF:
```
data_NbInF3
_space_group_name_H-M_alt 'P m -3 m'
_space_group_IT_number 221
_space_group_name_Hall '-P 4 2 3'
_cell_length_a 4.418
_cell_length_b 4.418
_cell_length_c 4.418
_cell_angle_alpha 90.00
_cell_angle_beta 90.00
_cell_angle_gamma 90.00
loop_
_atom_site_label
_atom_site_type_symbol
_atom_site_fract_x
_atom_site_fract_y
_atom_site_fract_z
Nb1 Nb 0.000 0.000 0.000
In1 In 0.500 0.500 0.500
F1 F 0.000 0.000 0.500
```

relative energy among the computed polymorphs: 0.000 eV/atom

=====

Compound: Nb2In2F
Source: the Alexandria database
Functional: GGA-PBE
Structure: relaxed

Cell and atoms, written as CIF:
```
data_Nb2In2F
_space_group_name_H-M_alt 'P 4/m b m'
_space_group_IT_number 127
_space_group_name_Hall '-P 4 2ab'
_cell_length_a 7.992
_cell_length_b 7.992
_cell_length_c 3.432
_cell_angle_alpha 90.00
_cell_angle_beta 90.00
_cell_angle_gamma 90.00
loop_
_atom_site_label
_atom_site_type_symbol
_atom_site_fract_x
_atom_site_fract_y
_atom_site_fract_z
Nb1 Nb 0.104 0.396 0.000
In1 In 0.194 0.694 0.500
F1 F 0.000 0.000 0.500
```

relative energy among the computed polymorphs: 0.101 eV/atom

=====

Compound: Nb2InF11
Source: the Alexandria database
Functional: GGA-PBE
Structure: relaxed

Cell and atoms, written as CIF:
```
data_Nb2InF11
_space_group_name_H-M_alt 'I b a m'
_space_group_IT_number 72
_space_group_name_Hall '-I 2 2c'
_cell_length_a 8.455
_cell_length_b 10.831
_cell_length_c 11.486
_cell_angle_alpha 90.00
_cell_angle_beta 90.00
_cell_angle_gamma 90.00
loop_
_atom_site_label
_atom_site_type_symbol
_atom_site_fract_x
_atom_site_fract_y
_atom_site_fract_z
Nb1 Nb 0.100 0.179 0.000
In1 In 0.000 0.500 0.250
F1 F 0.000 0.000 0.000
F2 F 0.101 0.310 0.114
F3 F 0.126 0.202 0.500
F4 F 0.227 0.100 0.117
```

=====

Compound: NbIn3F
Source: the Alexandria database
Functional: GGA-PBE
Structure: relaxed

Cell and atoms, written as CIF:
```
data_NbIn3F
_space_group_name_H-M_alt 'P m -3 m'
_space_group_IT_number 221
_space_group_name_Hall '-P 4 2 3'
_cell_length_a 5.516
_cell_length_b 5.516
_cell_length_c 5.516
_cell_angle_alpha 90.00
_cell_angle_beta 90.00
_cell_angle_gamma 90.00
loop_
_atom_site_label
_atom_site_type_symbol
_atom_site_fract_x
_atom_site_fract_y
_atom_site_fract_z
Nb1 Nb 0.000 0.000 0.000
In1 In 0.000 0.000 0.500
F1 F 0.500 0.500 0.500
```

relative energy among the computed polymorphs: 0.452 eV/atom

=====

Compound: NbInPbF2
Source: the Alexandria database
Functional: GGA-PBE
Structure: relaxed

Cell and atoms, written as CIF:
```
data_NbInPbF2
_space_group_name_H-M_alt 'P 4/m m m'
_space_group_IT_number 123
_space_group_name_Hall '-P 4 2'
_cell_length_a 4.178
_cell_length_b 4.178
_cell_length_c 6.288
_cell_angle_alpha 90.00
_cell_angle_beta 90.00
_cell_angle_gamma 90.00
loop_
_atom_site_label
_atom_site_type_symbol
_atom_site_fract_x
_atom_site_fract_y
_atom_site_fract_z
Nb1 Nb 0.000 0.000 0.000
In1 In 0.000 0.000 0.500
Pb1 Pb 0.500 0.500 0.000
F1 F 0.000 0.500 0.500
```

=====

Compound: Rb2NbInF6
Source: the Alexandria database
Functional: GGA-PBE
Structure: relaxed

Cell and atoms, written as CIF:
```
data_Rb2NbInF6
_space_group_name_H-M_alt 'F m -3 m'
_space_group_IT_number 225
_space_group_name_Hall '-F 4 2 3'
_cell_length_a 9.428
_cell_length_b 9.428
_cell_length_c 9.428
_cell_angle_alpha 90.00
_cell_angle_beta 90.00
_cell_angle_gamma 90.00
loop_
_atom_site_label
_atom_site_type_symbol
_atom_site_fract_x
_atom_site_fract_y
_atom_site_fract_z
Rb1 Rb 0.250 0.250 0.250
Nb1 Nb 0.000 0.000 0.000
In1 In 0.000 0.000 0.500
F1 F 0.000 0.000 0.224
```

=====

Energy relative to the elements, uncorrected, respectively: -1783 50 -2836 321 -648 -2482 meV/atom.